First-principles (PBE) data for a relaxed VAs2Pb2 crystal, as listed in the Alexandria database.

Computed properties:
- Symmetry: P4/mbm
- Offset from the most stable computed form: 0 meV/atom
- E: -5.1237 eV/atom
- Crystal system: tetragonal
- ΔH_f (0 K): 43 meV per atom

Cell lengths 6.5985, 6.5985, 5.4683 Å; angles 90.00, 90.00, 90.00 degrees
Site moments in Bohr magnetons follow the coordinates.
Element x y z (fractional)
Pb  0.1932  0.6932  0.5000  0.01
Pb  0.6932  0.8068  0.5000  0.01
Pb  0.8068  0.3068  0.5000  0.01
Pb  0.3068  0.1932  0.5000  0.01
As  0.3642  0.8642  0.0000  -0.03
As  0.8642  0.6358  0.0000  -0.03
As  0.6358  0.1358  0.0000  -0.03
As  0.1358  0.3642  0.0000  -0.03
V  0.0000  0.0000  0.0000  2.26
V  0.5000  0.5000  0.0000  2.26